## AlCd2Ag2 (GGA-PBE)

Data for a relaxed AlCd2Ag2 crystal.

Calculated values
E above lowest polymorph = 144 meV/atom
calculated formation energy = 0.23 eV per atom
space-group type = No. 139

Cell lengths 7.579, 7.579, 7.579 Å; angles 150.02, 150.02, 42.91 degrees
Element x y z (fractional)
Al1 0.000 0.000 0.000
Cd1 0.250 0.750 0.500
Cd2 0.750 0.250 0.500
Ag1 0.405 0.405 0.000
Ag2 0.595 0.595 0.000


## SmBO3 (GGA-PBE)

Data for a relaxed SmBO3 crystal.

Calculated values
formation energy (no corrections) = -2.999 eV per atom
space-group type = No. 59

Cell lengths 3.581, 6.980, 5.144 Å; angles 90.00, 90.00, 90.00 degrees
Element x y z (fractional)
Sm1 0.250 0.250 0.106
Sm2 0.750 0.750 0.894
B1 0.250 0.750 0.335
B2 0.750 0.250 0.665
O1 0.250 0.587 0.179
O2 0.250 0.750 0.601
O3 0.250 0.913 0.179
O4 0.750 0.087 0.821
O5 0.750 0.250 0.399
O6 0.750 0.413 0.821


## Sr2Sc (GGA-PBE)

Data for a relaxed Sr2Sc crystal.

Calculated values
E above lowest polymorph = 51 meV/atom
calculated formation energy = 0.27 eV per atom
space-group type = No. 8

Cell lengths 7.323, 7.323, 9.260 Å; angles 108.95, 108.95, 32.29 degrees
Element x y z (fractional)
Sr1 0.000 0.000 0.000
Sr2 0.000 0.000 0.499
Sr3 0.309 0.309 0.691
Sr4 0.691 0.691 0.308
Sc1 0.324 0.324 0.118
Sc2 0.675 0.675 0.880


## K4H2Se (GGA-PBE)

Data for a relaxed K4H2Se crystal.

Calculated values
E above lowest polymorph = 0 meV/atom
space-group type = No. 141

Cell lengths 8.187, 8.187, 8.187 Å; angles 108.32, 108.32, 111.81 degrees
Element x y z (fractional)
K1 0.201 0.273 0.571
K2 0.201 0.630 0.929
K3 0.273 0.201 0.071
K4 0.370 0.799 0.571
K5 0.630 0.201 0.429
K6 0.727 0.799 0.929
K7 0.799 0.370 0.071
K8 0.799 0.727 0.429
H1 0.000 0.500 0.500
H2 0.500 0.000 0.000
H3 0.500 0.500 0.000
H4 0.500 0.500 0.500
Se1 0.125 0.875 0.250
Se2 0.875 0.125 0.750